Here is crystalline Cs3MoO at its relaxed geometry from Alexandria. Energies are from GGA+U.

Computed properties:
ρ ... 3.767 g/cm³
DFT total energy ... -2.879 eV/atom

Structure (CIF):
```
data_Cs3MoO
_symmetry_space_group_name_H-M 'P m -3 m'
_symmetry_Int_Tables_number 221
_symmetry_space_group_name_Hall '-P 4 2 3'
_cell_length_a 6.083
_cell_length_b 6.083
_cell_length_c 6.083
_cell_angle_alpha 90.00
_cell_angle_beta 90.00
_cell_angle_gamma 90.00
loop_
_atom_site_label
_atom_site_fract_x
_atom_site_fract_y
_atom_site_fract_z
Cs1 0.000 0.000 0.500
Mo1 0.500 0.500 0.500
O1 0.000 0.000 0.000
```